Entry 1:
Material: Y2ZrRh4
Method: DFT, GGA-PBE
State: relaxed

D(E_F), states/eV/cell: 6.54
Raw total energy, eV per atom: -7.777

a = 4.717 Å, b = 4.717 Å, c = 12.607 Å
α = 90.00°, β = 90.00°, γ = 90.00°
Element x y z (fractional)
1 Y 0.000 0.000 0.231
2 Y 0.000 0.000 0.769
3 Y 0.500 0.500 0.269
4 Y 0.500 0.500 0.731
5 Zr 0.000 0.000 0.500
6 Zr 0.500 0.500 0.000
7 Rh 0.000 0.500 0.115
8 Rh 0.000 0.500 0.385
9 Rh 0.000 0.500 0.615
10 Rh 0.000 0.500 0.885
11 Rh 0.500 0.000 0.115
12 Rh 0.500 0.000 0.385
13 Rh 0.500 0.000 0.615
14 Rh 0.500 0.000 0.885

Entry 2:
Material: YURe4
Method: DFT, GGA-PBE
State: relaxed

D(E_F), states/eV/cell: 12.66
Raw total energy, eV per atom: -11.246

a = 5.416 Å, b = 5.416 Å, c = 5.416 Å
α = 60.00°, β = 60.00°, γ = 60.00°
Element x y z (fractional)
1 Y 0.000 0.000 0.000
2 U 0.750 0.750 0.750
3 Re 0.375 0.375 0.375
4 Re 0.375 0.375 0.876
5 Re 0.375 0.876 0.375
6 Re 0.876 0.375 0.375

Q: raw total energy of number 2 (YURe4)?
A: -11.246 eV per atom